No. 1
# Zr2CoBBr

A relaxed Zr2CoBBr crystal (GGA-PBE, Alexandria).

```
5
Lattice="4.918 0.000 0.000 0.000 3.732 0.000 0.000 0.000 4.918" Properties=species:S:1:pos:R:3 pbc="T T T"
B 0.000 1.866 0.000
Zr 2.459 0.000 0.000
Zr 0.000 0.000 2.459
Co 0.000 0.000 0.000
Br 2.459 1.866 2.459
```

Output
SG = No. 123
Theoretical density = 6.11 Mg/m³
DOS(E_F) = 3.34 states/eV per cell
Formation energy without anion corrections = 56 meV per atom

---

No. 2
# Cr2BBr

A relaxed Cr2BBr crystal (GGA-PBE, Alexandria).

```
4
Lattice="0.000 2.864 2.864 2.864 0.000 2.864 2.864 2.864 0.000" Properties=species:S:1:pos:R:3 pbc="T T T"
Cr 1.432 1.432 1.432
Cr 4.296 4.296 4.296
B 0.000 0.000 0.000
Br 2.864 2.864 2.864
```

Output
SG = No. 225
Theoretical density = 6.88 Mg/m³
DOS(E_F) = 2.41 states/eV per cell
Formation energy without anion corrections = 963 meV per atom

---

No. 3
# Cr3BBr

A relaxed Cr3BBr crystal (GGA-PBE, Alexandria).

```
5
Lattice="4.023 0.000 0.000 0.000 4.023 0.000 0.000 0.000 4.023" Properties=species:S:1:pos:R:3 pbc="T T T"
B 0.000 0.000 0.000
Br 2.011 2.011 2.011
Cr 0.000 0.000 2.011
Cr 2.011 0.000 0.000
Cr 0.000 2.011 0.000
```

Output
SG = No. 221
Theoretical density = 6.29 Mg/m³
DOS(E_F) = 9.06 states/eV per cell
Formation energy without anion corrections = 891 meV per atom

---

No. 4
# Cr2BBr

A relaxed Cr2BBr crystal (GGA-PBE, Alexandria).

```
8
Lattice="5.270 0.000 0.000 0.000 5.270 0.000 2.635 2.635 5.199" Properties=species:S:1:pos:R:3 pbc="T T T"
B 2.635 2.635 0.000
B 2.635 5.270 2.599
Cr 6.587 6.127 3.899
Cr 3.492 1.317 1.300
Cr 1.778 3.952 1.300
Cr 3.952 4.412 3.899
Br 5.270 2.635 2.599
Br 0.000 0.000 0.000
```

Output
SG = No. 122
Theoretical density = 4.48 Mg/m³
DOS(E_F) = 0.99 states/eV per cell
Formation energy without anion corrections = 588 meV per atom